Below is Sc2CoOs at its PBEsol-relaxed geometry, with properties calculated at the SCAN level.

Cell: 3.0199 3.0199 8.1726 Å, 79.35 79.35 60.00°
With the nearest neighbours (Å) after each atom.
Fractional positions:
Sc 0.7532 0.7532 0.7403  3 Co 2.59, 3 Os 2.71
Sc 0.2468 0.2468 0.2597  3 Co 2.59, 3 Os 2.71
Co 0.5000 0.5000 0.5000  6 Sc 2.59
Os 0.0000 0.0000 0.0000  6 Sc 2.71, 6 Os 3.02

magnetic moment: 0.1678 μB per atom
energy relative to the lowest polymorph listed for this composition: 474.3 meV per atom
ΔH_f (0 K): 0.0317 eV per atom
SG: R-3m

Below is ScCoOs at its PBEsol-relaxed geometry, with properties calculated at the SCAN level.

Cell: 3.0829 3.0829 5.1111 Å, 107.55 107.55 90.00°
With the nearest neighbours (Å) after each atom.
Fractional positions:
Os 0.6511 0.6511 0.3022  4 Co 2.52, 4 Sc 2.76
Co 0.0146 0.0146 0.0292  4 Os 2.52, 4 Sc 2.74
Sc 0.3343 0.3343 0.6686  5 Co 2.74-2.96, 5 Os 2.76-2.93

magnetic moment: 0.7293 μB per atom
energy relative to the lowest polymorph listed for this composition: 0.0 meV per atom
ΔH_f (0 K): -0.1516 eV per atom
SG: I4mm

Below is ScCo2Os at its PBEsol-relaxed geometry, with properties calculated at the SCAN level.

Cell: 4.2403 4.2403 4.2403 Å, 60.00 60.00 60.00°
With the nearest neighbours (Å) after each atom.
Fractional positions:
Co 0.0000 0.0000 0.0000  4 Co 2.60, 4 Sc 2.60
Co 0.7500 0.7500 0.7500  4 Os 2.60, 4 Co 2.60
Os 0.5000 0.5000 0.5000  4 Co 2.60, 4 Sc 2.60
Sc 0.2500 0.2500 0.2500  4 Co 2.60, 4 Os 2.60

magnetic moment: 1.1385 μB per atom
energy relative to the lowest polymorph listed for this composition: 81.0 meV per atom
ΔH_f (0 K): 0.0441 eV per atom
SG: F-43m

Q: Look up the magnetic moment of the second one.
A: 0.7293 μB per atom

Q: Which value of ΔH_f (0 K) does entry 1 give?
A: 0.0317 eV per atom

Q: Among the records above, which one has the highest magnetic moment?
A: ScCo2Os

Q: Among the records above, which one has the lowest ΔH_f (0 K)?
A: ScCoOs